# PBE-GGA PuVTc, optimized geometry
data_PuVTc
_cell_length_a 3.630
_cell_length_b 3.630
_cell_length_c 7.860
_cell_angle_alpha 90.00
_cell_angle_beta 90.00
_cell_angle_gamma 90.00
_symmetry_space_group_name_H-M 'P 1'
_symmetry_Int_Tables_number 1
loop_
_symmetry_equiv_pos_as_xyz
'x,y,z'
loop_
_atom_site_label
_atom_site_type_symbol
_atom_site_fract_x
_atom_site_fract_y
_atom_site_fract_z
_atom_site_occupancy
Pu1 Pu 0.000 0.000 0.000 1
Pu2 Pu 0.500 0.500 0.500 1
V1 V 0.000 0.000 0.698 1
V2 V 0.500 0.500 0.198 1
Tc1 Tc 0.000 0.000 0.318 1
Tc2 Tc 0.500 0.500 0.818 1
# raw total energy = -10.97 eV per atom
# magnetization = 6.762 μB per cell